1.
A plane-wave DFT calculation with PBE-GGA was carried out for a relaxed B3HW crystal.

Results
The space group is Pm-3m (221). The value obtained for the total energy is -6.249 eV/atom. The energy above the most stable polymorph in this dataset is 0 meV/atom.

a = 3.344 Å, b = 3.344 Å, c = 3.344 Å
α = 90.00°, β = 90.00°, γ = 90.00°
Positions (direct):
B (0.500, 0.000, 0.000)
B (0.000, 0.500, 0.000)
B (0.000, 0.000, 0.500)
W (0.500, 0.500, 0.500)
H (0.000, 0.000, 0.000)



2.
A plane-wave DFT calculation with PBE-GGA was carried out for a relaxed Zr2BHW crystal.

Results
The space group is P4/mmm (123). The value obtained for the total energy is -6.667 eV/atom.

a = 5.074 Å, b = 4.150 Å, c = 5.074 Å
α = 90.00°, β = 90.00°, γ = 90.00°
Positions (direct):
B (0.000, 0.500, 0.000)
H (0.500, 0.500, 0.500)
Zr (0.500, 0.000, 0.000)
Zr (0.000, 0.000, 0.500)
W (0.000, 0.000, 0.000)



3.
A plane-wave DFT calculation with PBE-GGA was carried out for a relaxed YB3H12 crystal.

Results
The space group is R-3c (167). The value obtained for the total energy is -4.490 eV/atom. The energy above the most stable polymorph in this dataset is 0 meV/atom.

a = 7.733 Å, b = 7.733 Å, c = 7.754 Å
α = 60.09°, β = 60.09°, γ = 60.00°
Positions (direct):
B (0.332, 0.835, 0.004)
B (0.329, 0.335, 0.504)
B (0.335, 0.832, 0.504)
B (0.829, 0.332, 0.004)
B (0.832, 0.329, 0.504)
B (0.835, 0.829, 0.004)
H (0.297, 0.491, 0.535)
H (0.367, 0.987, 0.473)
H (0.991, 0.797, 0.035)
H (0.491, 0.677, 0.535)
H (0.302, 0.866, 0.349)
H (0.987, 0.173, 0.473)
H (0.797, 0.177, 0.035)
H (0.298, 0.680, 0.159)
H (0.680, 0.862, 0.159)
H (0.984, 0.366, 0.849)
H (0.484, 0.302, 0.349)
H (0.673, 0.487, 0.973)
H (0.867, 0.673, 0.973)
H (0.362, 0.180, 0.659)
H (0.366, 0.802, 0.849)
H (0.862, 0.298, 0.159)
H (0.802, 0.984, 0.849)
H (0.173, 0.367, 0.473)
H (0.866, 0.484, 0.349)
H (0.180, 0.798, 0.659)
H (0.487, 0.867, 0.973)
H (0.677, 0.297, 0.535)
H (0.798, 0.362, 0.659)
H (0.177, 0.991, 0.035)
Y (0.082, 0.082, 0.754)
Y (0.582, 0.582, 0.254)